Record 1
PmScPd2 | GGA-PBE | relaxed

Computed properties:
Symmetry ... No. 123
VASP energy ... -6.179 eV/atom

```
4
Lattice="3.3703 0.0000 0.0000 0.0000 3.3703 0.0000 0.0000 0.0000 7.2278" Properties=species:S:1:pos:R:3 pbc="T T T"
Sc 1.6852 1.6852 0.0000
Pd 0.0000 0.0000 5.6760
Pd 0.0000 0.0000 1.5518
Pm 1.6852 1.6852 3.6139
```

Record 2
PmScPd6 | GGA-PBE | relaxed

Computed properties:
Symmetry ... No. 123
VASP energy ... -6.088 eV/atom

```
8
Lattice="4.1230 0.0000 0.0000 0.0000 4.1230 0.0000 0.0000 0.0000 8.1035" Properties=species:S:1:pos:R:3 pbc="T T T"
Pm 0.0000 0.0000 0.0000
Sc 0.0000 0.0000 4.0517
Pd 2.0615 2.0615 0.0000
Pd 2.0615 2.0615 4.0517
Pd 2.0615 0.0000 2.1361
Pd 2.0615 0.0000 5.9674
Pd 0.0000 2.0615 2.1361
Pd 0.0000 2.0615 5.9674
```

Record 3
PmScPd | GGA-PBE | relaxed

Computed properties:
Symmetry ... No. 216
VASP energy ... -5.813 eV/atom

```
3
Lattice="4.8171 0.0000 0.0000 2.4085 4.1717 0.0000 2.4085 1.3906 3.9331" Properties=species:S:1:pos:R:3 pbc="T T T"
Sc 4.8171 2.7811 1.9666
Pd 2.4085 1.3906 0.9833
Pm 0.0000 0.0000 0.0000
```

Record 4
PmScPd | GGA-PBE | relaxed

Computed properties:
Symmetry ... No. 12
VASP energy ... -6.004 eV/atom

```
6
Lattice="4.6065 -0.2223 -0.0608 0.2219 4.6087 -0.0614 0.0867 0.0794 6.8842" Properties=species:S:1:pos:R:3 pbc="T T T"
Pm 3.9875 3.8559 3.6483
Pm 1.5511 1.6424 1.9847
Sc 3.9082 1.5818 6.2587
Sc 1.7172 3.9959 6.2584
Pd 3.9551 3.8262 0.8194
Pd 1.5835 1.6720 4.8136
```

Record 5
PmScPd | GGA-PBE | relaxed

Computed properties:
Symmetry ... No. 11
VASP energy ... -5.992 eV/atom

```
6
Lattice="-1.9975 0.7864 3.1613 -0.9143 -4.7138 0.5948 7.4424 3.9989 3.7006" Properties=species:S:1:pos:R:3 pbc="T T T"
Pd 4.4977 0.8572 3.7757
Pd 0.0329 -0.7857 3.6810
Pm 2.0235 1.1228 2.1525
Pm 2.5072 -1.0512 5.3043
Sc 5.0946 1.0712 6.4091
Sc -0.5639 -0.9996 1.0477
```

Record 6
Pm2ScPd | GGA-PBE | relaxed

Computed properties:
Symmetry ... No. 123
VASP energy ... -5.586 eV/atom

```
4
Lattice="3.7118 0.0000 0.0000 0.0000 3.7118 0.0000 0.0000 0.0000 7.6413" Properties=species:S:1:pos:R:3 pbc="T T T"
Sc 1.8559 1.8559 3.8207
Pd 1.8559 1.8559 0.0000
Pm 0.0000 0.0000 5.9513
Pm 0.0000 0.0000 1.6900
```

Record 7
PmSc3Pd4 | GGA-PBE | relaxed

Computed properties:
Symmetry ... No. 51
VASP energy ... -6.398 eV/atom

```
16
Lattice="-2.2948 -3.9584 -1.5684 3.2396 0.4189 -5.7969 7.0942 -5.5254 3.5653" Properties=species:S:1:pos:R:3 pbc="T T T"
Sc 0.0000 0.0000 0.0000
Sc 3.5471 -2.7627 1.7827
Sc 4.1663 -6.1351 1.8850
Sc 0.6331 -3.3486 0.1118
Sc 5.7900 -5.9191 -1.0108
Sc 2.2491 -3.1458 -2.7892
Pd 1.3389 -1.6577 -5.2332
Pd 4.8860 -4.4204 -3.4506
Pd -0.3941 -1.8818 -2.1322
Pd 3.1530 -4.6445 -0.3495
Pd 7.7960 -3.8410 -1.7817
Pd 1.9754 -4.9999 -5.1182
Pd 0.2431 -5.2239 -2.0183
Pd 6.0636 -4.0650 1.3182
Pm 1.6198 0.2094 -2.8985
Pm 5.1669 -2.5532 -1.1158
```

Record 8
PmScPd | GGA-PBE | relaxed

Computed properties:
Symmetry ... No. 107
VASP energy ... -5.934 eV/atom

```
3
Lattice="-1.8746 -2.0028 2.1221 2.4930 0.2115 2.4019 -2.9073 5.7334 0.0086" Properties=species:S:1:pos:R:3 pbc="T T T"
Sc -1.5474 2.8813 1.3523
Pd -0.6602 0.9093 3.1091
Pm -0.0814 0.1516 0.0712
```

Record 9
PmScPd | GGA-PBE | relaxed

Computed properties:
Symmetry ... No. 156
VASP energy ... -5.830 eV/atom

```
3
Lattice="3.9034 0.0000 0.0000 0.0000 4.6324 0.0000 0.0000 -2.3162 4.0118" Properties=species:S:1:pos:R:3 pbc="T T T"
Sc 2.1109 2.3162 1.3373
Pd 1.7041 0.0000 2.6745
Pm 0.0884 0.0000 0.0000
```

Record 10
Pm2ScPd2 | GGA-PBE | relaxed

Computed properties:
Symmetry ... No. 127
VASP energy ... -5.907 eV/atom

```
10
Lattice="-0.2328 3.8046 -1.4615 -7.3555 0.3919 2.1917 2.1829 2.7584 6.8328" Properties=species:S:1:pos:R:3 pbc="T T T"
Pm -4.2303 1.1672 3.7123
Pm -4.2811 2.6073 7.4691
Pm -0.8915 0.5430 1.5554
Pm -0.9423 1.9830 5.3122
Sc -3.7942 2.0982 0.3651
Sc 0.9751 3.2815 2.6856
Pd -2.0217 3.0627 2.5933
Pd -6.2161 2.6057 2.0720
Pd 0.8107 4.3491 5.4910
Pd -3.3837 3.8922 4.9697
```

Record 11
PmScPd3 | GGA-PBE | relaxed

Computed properties:
Symmetry ... No. 14
VASP energy ... -6.153 eV/atom

```
20
Lattice="-3.7991 -4.0650 -0.7439 0.8154 -2.4885 9.4336 -5.3040 4.7402 1.1845" Properties=species:S:1:pos:R:3 pbc="T T T"
Pm -3.8256 -4.1525 5.4856
Pm -4.4621 2.3392 4.3886
Pm -2.7022 -0.9854 3.6216
Pm -5.5855 -0.8278 6.2525
Sc -4.1634 -0.5820 9.4030
Sc -4.1243 -1.2313 0.4711
Sc -7.5744 0.2848 0.9071
Sc -0.7133 -2.0981 8.9671
Pd -2.8875 1.5673 1.7379
Pd -5.4002 -3.3805 8.1363
Pd -1.6458 -4.5711 7.7599
Pd -6.6418 2.7578 2.1143
Pd -2.9754 -2.0133 7.4858
Pd -5.3122 0.2001 2.3883
Pd -4.1170 -3.7288 1.5108
Pd -4.1707 1.9155 8.3634
Pd -2.9589 0.4725 6.3028
Pd -5.3288 -2.2858 3.5713
Pd -7.1979 0.9219 4.3169
Pd -1.0897 -2.7352 5.5573
```

Record 12
Pm2ScSiPd6 | GGA-PBE | relaxed

Computed properties:
Symmetry ... No. 2
Uncorrected formation energy ... -0.663 eV per atom

```
10
Lattice="5.9668 0.5921 0.9952 0.6389 6.5790 1.3201 3.9576 4.3869 6.4792" Properties=species:S:1:pos:R:3 pbc="T T T"
Pm 6.6645 4.3024 4.2715
Pm 3.8987 7.2555 4.5230
Sc 0.0000 0.0000 0.0000
Si 3.3029 3.5855 1.1576
Pd 3.4927 4.1501 3.7813
Pd 8.4169 10.0731 8.1760
Pd 5.2263 8.7006 6.7316
Pd 5.3370 2.8573 2.0629
Pd 2.1464 1.4848 0.6186
Pd 7.0706 7.4078 5.0132
```